Density functional theory data (PBE+U) for a geometry-optimized V2AgOsO8 structure.

Unit cell a=5.0700 b=5.0644 c=6.7640 alpha=80.07 beta=80.13 gamma=72.49
Last column: nearest neighbours and their distance in Å.
Sites, in units of the cell vectors:
1 V 0.4248 0.4253 0.7225  4 O 1.73-1.82
2 V 0.5752 0.5747 0.2775  4 O 1.73-1.82
3 Os 0.0000 0.0000 0.0000  6 O 1.90-1.95
4 O 0.3454 0.3436 0.5066  1 V 1.73
5 O 0.7632 0.7637 0.0863  1 V 1.79, 1 Os 1.90
6 O 0.2368 0.2363 0.9137  1 V 1.79, 1 Os 1.90
7 O 0.6546 0.6564 0.4934  1 V 1.73
8 O 0.7610 0.2174 0.7981  1 V 1.82, 1 Os 1.95
9 O 0.2143 0.7622 0.7966  1 V 1.82, 1 Os 1.95
10 O 0.7857 0.2378 0.2034  1 V 1.82, 1 Os 1.95
11 O 0.2390 0.7826 0.2019  1 V 1.82, 1 Os 1.95
12 Ag 0.0000 0.0000 0.5000  4 O 2.40-2.42

Calculated total energy ... -83.99 eV for the cell shown
Calculated volume ... 162 Å³/cell